# 1
{
  "formula": "NaScOF2",
  "functional": "PBE",
  "state": "relaxed",
  "lattice_angstrom": [[3.784, 0.000, 0.000], [0.000, 3.784, 0.000], [0.000, 0.000, 4.267]],
  "species": ["Na", "Sc", "O", "F", "F"],
  "fractional_positions": [[0.000, 0.000, 0.000], [0.500, 0.500, 0.500], [0.000, 0.000, 0.500], [0.000, 0.500, 0.000], [0.500, 0.000, 0.000]],
  "e_above_lowest_polymorph_mev_per_atom": 1154,
  "final_energy_ev_per_cell": -26.43,
  "magnetic_moment_mub_per_cell": 0.00,
  "formation_energy_uncorrected_ev_per_atom": -2.016
}

---

# 2
{
  "formula": "AcZnAsH2",
  "functional": "PBE",
  "state": "relaxed",
  "lattice_angstrom": [[4.184, 0.000, 0.000], [0.000, 4.184, 0.000], [0.000, 0.000, 5.339]],
  "species": ["Ac", "Zn", "As", "H", "H"],
  "fractional_positions": [[0.000, 0.000, 0.000], [0.500, 0.500, 0.347], [0.500, 0.500, 0.810], [0.000, 0.500, 0.290], [0.500, 0.000, 0.290]],
  "final_energy_ev_per_cell": -18.80,
  "magnetic_moment_mub_per_cell": 0.00
}

---

# 3
{
  "formula": "AlZnW2",
  "functional": "PBE",
  "state": "relaxed",
  "lattice_angstrom": [[4.714, 0.000, 0.000], [0.000, 4.714, 0.000], [0.000, 0.000, 2.731]],
  "species": ["Al", "Zn", "W", "W"],
  "fractional_positions": [[0.000, 0.000, 0.000], [0.500, 0.500, 0.000], [0.000, 0.500, 0.500], [0.500, 0.000, 0.500]],
  "e_above_lowest_polymorph_mev_per_atom": 281,
  "delta_e_f_ev_per_fu": 1.376,
  "final_energy_ev_per_cell": -29.55,
  "magnetic_moment_mub_per_cell": 0.00
}